## NdHo2TlC (PBE-GGA)

Data for a relaxed structure of NdHo2TlC.

a b c (Å): 4.9116 4.9116 5.1277
angles (deg): 90.00 90.00 90.00
Positions (direct):
Nd 0.0000 0.0000 0.0000
Ho 0.0000 0.5000 0.5000
Ho 0.5000 0.0000 0.5000
Tl 0.5000 0.5000 0.0000
C 0.0000 0.0000 0.5000

Results
* formation energy: -0.39 eV per atom
* symmetry: No. 123
* spin magnetization: 0.00 μB per atom
* total DFT energy (no corrections): -5.496 eV per atom
* DOS(E_F): 0.364 states/eV/atom